Computed, not measured: a relaxed HfNp2F11 crystal at the GGA-PBE level of DFT.

Summary:
Size of the total moment   0.500 μB per atom
Crystal system   orthorhombic
Uncorrected formation energy   -50.1 eV/f.u.
Electronic total energy   -7.608 eV/atom

Cell lengths 8.367, 10.317, 10.672 Å; angles 90.00, 90.00, 90.00 degrees
Space group Ibam (No. 72)
Unique sites:
Hf: 0.000 0.000 0.250 x4
Np: 0.152 0.318 0.000 x8
F: 0.000 0.500 0.000 x4
F: 0.085 0.162 0.147 x16
F: 0.126 0.288 0.500 x8
F: 0.198 0.065 0.357 x16